Entry from Alexandria: a geometry-optimized La3Ir2 structure (PBEsol).

abc: 8.212 6.164 9.316
angles: 60.04 40.57 79.39
Element x y z (fractional)
La  0.000  0.000  0.000
La  0.250  0.250  0.250
La  0.359  0.616  0.724
La  0.526  0.949  0.891
La  0.616  0.359  0.301
La  0.949  0.526  0.634
Ir  0.485  0.849  0.266
Ir  0.849  0.485  0.401
Ir  0.849  0.984  0.401
Ir  0.984  0.849  0.765

## Properties
- relative energy among the computed polymorphs (kJ per mole of atoms) = 7.60
- ΔE_f (eV/atom) = -0.54
- magnetic moment (μB/f.u.) = 0.0

***

Entry from Alexandria: a geometry-optimized La5Ir3 structure (PBEsol).

abc: 8.554 8.554 8.554
angles: 97.43 97.43 137.84
Element x y z (fractional)
La  0.087  0.789  0.876
La  0.211  0.087  0.299
La  0.250  0.750  0.500
La  0.289  0.587  0.876
La  0.413  0.289  0.701
La  0.587  0.711  0.299
La  0.711  0.413  0.124
La  0.750  0.250  0.500
La  0.789  0.913  0.701
La  0.913  0.211  0.124
Ir  0.156  0.344  0.500
Ir  0.250  0.250  0.000
Ir  0.344  0.844  0.187
Ir  0.656  0.156  0.813
Ir  0.750  0.750  0.000
Ir  0.844  0.656  0.500

## Properties
- relative energy among the computed polymorphs (kJ per mole of atoms) = 6.11
- ΔE_f (eV/atom) = -0.55
- magnetic moment (μB/f.u.) = 0.0

***

Entry from Alexandria: a geometry-optimized La3Ir2 structure (PBEsol).

abc: 4.872 4.872 6.297
angles: 90.00 90.00 120.00
Element x y z (fractional)
La  0.000  0.000  0.000
La  0.333  0.667  0.338
La  0.667  0.333  0.662
Ir  0.333  0.667  0.826
Ir  0.667  0.333  0.174

## Properties
- relative energy among the computed polymorphs (kJ per mole of atoms) = 5.44
- ΔE_f (eV/atom) = -0.57
- magnetic moment (μB/f.u.) = 0.0